1.
Below is a geometry-optimized CaZnAs2Br structure, with properties calculated at the GGA-PBEsol level.

Output
The space group is P4/mmm. The value obtained for the uncorrected formation energy is -237 meV/atom. Its total magnetic moment is 0.0 μB/cell.

```
5
Lattice="4.667 0.000 0.000 0.000 4.667 0.000 0.000 0.000 5.701" Properties=species:S:1:pos:R:3 pbc="T T T"
Br 0.000 0.000 2.851
Ca 2.334 2.334 2.851
As 0.000 2.334 0.000
As 2.334 0.000 0.000
Zn 0.000 0.000 0.000
```

---

2.
Below is a geometry-optimized Na2Sr2Ca structure, with properties calculated at the GGA-PBEsol level.

Output
The space group is P4/mbm. Its total magnetic moment is 0.0 μB/cell. The calculation puts the calculated formation energy at 0.06 eV per atom.

```
10
Lattice="4.570 0.000 0.000 0.000 9.726 0.000 0.000 0.000 9.726" Properties=species:S:1:pos:R:3 pbc="T T T"
Ca 0.000 0.000 0.000
Ca 0.000 4.863 4.863
Na 0.000 1.194 3.669
Na 0.000 6.057 1.194
Na 0.000 3.669 8.531
Na 0.000 8.531 6.057
Sr 2.285 6.579 8.010
Sr 2.285 8.010 3.147
Sr 2.285 1.716 6.579
Sr 2.285 3.147 1.716
```

---

Quick rundown of V, same order as above: 24.84 43.23 Å³/atom